The following is a DFT calculation (GGA-PBE) of a geometry-optimized Al2VZn2 structure.

Lattice parameters (Å, degrees): 7.177 7.177 2.907 90.00 90.00 90.00
Space group P4/mbm (No. 127)
Unique sites:
1 Al 0.178 0.322 0.000 (multiplicity 4)
2 V 0.000 0.000 0.500 (multiplicity 2)
3 Zn 0.123 0.623 0.500 (multiplicity 4)

Values from the calculation:
Calculated density ... 5.23 Mg/m³
Size of the total moment ... 0.00 μB per cell
E_form ... 137 meV/atom
Offset from the most stable computed form ... 0.0000 eV/atom
Calculated total energy ... -3.693 eV/atom


The following is a DFT calculation (GGA-PBE) of a geometry-optimized TmPuCuO6 structure.

Lattice parameters (Å, degrees): 5.019 5.019 9.502 90.00 90.00 90.00
Space group P4_2nm (No. 102)
Unique sites:
1 Tm 0.000 0.000 0.000 (multiplicity 2)
2 Pu 0.000 0.000 0.346 (multiplicity 2)
3 Cu 0.000 0.000 0.677 (multiplicity 2)
4 O 0.183 0.183 0.510 (multiplicity 4)
5 O 0.185 0.185 0.194 (multiplicity 4)
6 O 0.203 0.203 0.831 (multiplicity 4)

Values from the calculation:
Calculated density ... 7.94 Mg/m³
Size of the total moment ... 4.21 μB per cell
ΔE_f (raw) ... -2.216 eV/atom
Calculated total energy ... -8.066 eV/atom